# Sm2YIn2Rh5, relaxed, DFT PBE-GGA
# space group	P4/mbm (127)
data_Sm2YIn2Rh5
_cell_length_a 3.755
_cell_length_b 10.402
_cell_length_c 10.402
_cell_angle_alpha 90.00
_cell_angle_beta 90.00
_cell_angle_gamma 90.00
_space_group_name_H-M_alt 'P 1'
_space_group_IT_number 1
_space_group_name_Hall 'P 1'
loop_
_atom_site_label
_atom_site_type_symbol
_atom_site_fract_x
_atom_site_fract_y
_atom_site_fract_z
Sm1 Sm 0.000 0.670 0.170
Sm2 Sm 0.000 0.330 0.830
Sm3 Sm 0.000 0.170 0.330
Sm4 Sm 0.000 0.830 0.670
Y1 Y 0.000 0.000 0.000
Y2 Y 0.000 0.500 0.500
In1 In 0.000 0.127 0.627
In2 In 0.000 0.873 0.373
In3 In 0.000 0.627 0.873
In4 In 0.000 0.373 0.127
Rh1 Rh 0.500 0.203 0.065
Rh2 Rh 0.500 0.797 0.935
Rh3 Rh 0.500 0.065 0.797
Rh4 Rh 0.500 0.703 0.435
Rh5 Rh 0.500 0.935 0.203
Rh6 Rh 0.500 0.297 0.565
Rh7 Rh 0.500 0.565 0.703
Rh8 Rh 0.500 0.435 0.297
Rh9 Rh 0.500 0.500 0.000
Rh10 Rh 0.500 0.000 0.500



# Sm2Zn2InRh5, relaxed, DFT PBE-GGA
# space group	P4/mbm (127)
data_Sm2Zn2InRh5
_cell_length_a 3.701
_cell_length_b 9.771
_cell_length_c 9.771
_cell_angle_alpha 90.00
_cell_angle_beta 90.00
_cell_angle_gamma 90.00
_space_group_name_H-M_alt 'P 1'
_space_group_IT_number 1
_space_group_name_Hall 'P 1'
loop_
_atom_site_label
_atom_site_type_symbol
_atom_site_fract_x
_atom_site_fract_y
_atom_site_fract_z
Sm1 Sm 0.000 0.675 0.175
Sm2 Sm 0.000 0.325 0.825
Sm3 Sm 0.000 0.175 0.325
Sm4 Sm 0.000 0.825 0.675
Zn1 Zn 0.000 0.123 0.623
Zn2 Zn 0.000 0.877 0.377
Zn3 Zn 0.000 0.623 0.877
Zn4 Zn 0.000 0.377 0.123
In1 In 0.000 0.000 0.000
In2 In 0.000 0.500 0.500
Rh1 Rh 0.500 0.207 0.068
Rh2 Rh 0.500 0.793 0.932
Rh3 Rh 0.500 0.068 0.793
Rh4 Rh 0.500 0.707 0.432
Rh5 Rh 0.500 0.932 0.207
Rh6 Rh 0.500 0.293 0.568
Rh7 Rh 0.500 0.568 0.707
Rh8 Rh 0.500 0.432 0.293
Rh9 Rh 0.500 0.500 0.000
Rh10 Rh 0.500 0.000 0.500



# InSn2Rh, relaxed, DFT PBE-GGA
# space group	R3m (160)
data_InSn2Rh
_cell_length_a 4.444
_cell_length_b 4.444
_cell_length_c 6.261
_cell_angle_alpha 69.21
_cell_angle_beta 69.21
_cell_angle_gamma 60.00
_space_group_name_H-M_alt 'P 1'
_space_group_IT_number 1
_space_group_name_Hall 'P 1'
loop_
_atom_site_label
_atom_site_type_symbol
_atom_site_fract_x
_atom_site_fract_y
_atom_site_fract_z
In1 In 0.499 0.499 0.504
Sn1 Sn 0.063 0.063 0.810
Sn2 Sn 0.279 0.279 0.163
Rh1 Rh 0.659 0.659 0.023



# InSnRh4, relaxed, DFT PBE-GGA
# space group	C2/m (12)
# E above lowest polymorph	0.000	eV/atom
data_InSnRh4
_cell_length_a 3.013
_cell_length_b 5.738
_cell_length_c 7.153
_cell_angle_alpha 118.01
_cell_angle_beta 77.84
_cell_angle_gamma 74.78
_space_group_name_H-M_alt 'P 1'
_space_group_IT_number 1
_space_group_name_Hall 'P 1'
loop_
_atom_site_label
_atom_site_type_symbol
_atom_site_fract_x
_atom_site_fract_y
_atom_site_fract_z
In1 In 0.000 0.000 0.000
Sn1 Sn 0.500 0.500 0.500
Rh1 Rh 0.839 0.495 0.827
Rh2 Rh 0.326 0.011 0.338
Rh3 Rh 0.161 0.505 0.173
Rh4 Rh 0.674 0.989 0.662



Values of energy of formation from the pure elements, in order: -0.53, -0.58, -0.16, -0.15, all in eV per atom.
Values of volume, in order: 406.3, 353.4, 97.7, 96.9, all in Å³ per cell.